Compound: Ba2MgTiGa
Source: Alexandria via LeMat-Bulk
Functional: GGA-PBE
Structure: relaxed

Computed properties:
Total DFT energy (no corrections): -2.494 eV per atom
Calculated formation energy: 3.89 eV/f.u.

Cell lengths 6.490, 6.490, 4.872 Å; angles 90.00, 90.00, 90.00 degrees
Fractional coordinates of all 5 atoms:
1 Ba 0.000 0.500 0.000
2 Ba 0.500 0.000 0.000
3 Mg 0.000 0.000 0.000
4 Ti 0.500 0.500 0.500
5 Ga 0.000 0.000 0.500